DFT (PBE) results for crystalline Cs4Na2Cu at its relaxed geometry.

* crystal system: tetragonal
* spin magnetization: 0.000 μB per formula unit
* E_tot: -0.0935 Ry per atom

a b c (Å): 6.9914 6.9914 21.9313
angles (deg): 90.00 90.00 90.00
With the nearest neighbours (Å) after each atom.
Sites, in units of the cell vectors:
Cs  0.0000  0.0000  0.1716  1 Cu 3.76
Cs  0.0000  0.0000  0.8284  1 Cu 3.76
Cs  0.0000  0.5000  0.0000  2 Cu 3.50
Cs  0.0000  0.5000  0.5000  2 Cu 3.50
Cs  0.5000  0.0000  0.0000  2 Cu 3.50
Cs  0.5000  0.0000  0.5000  2 Cu 3.50
Cs  0.5000  0.5000  0.3284  1 Cu 3.76
Cs  0.5000  0.5000  0.6716  1 Cu 3.76
Na  0.0000  0.0000  0.3685  5 Cs 4.32-4.53
Na  0.0000  0.0000  0.6315  5 Cs 4.32-4.53
Na  0.5000  0.5000  0.1315  5 Cs 4.32-4.53
Na  0.5000  0.5000  0.8685  5 Cs 4.32-4.53
Cu  0.0000  0.0000  0.0000  6 Cs 3.50-3.76
Cu  0.5000  0.5000  0.5000  6 Cs 3.50-3.76

---

DFT (PBE) results for crystalline CsNaCu3 at its relaxed geometry.

* crystal system: cubic
* spin magnetization: 0.000 μB per formula unit
* E_tot: -0.1492 Ry per atom

a b c (Å): 5.3468 5.3468 5.3468
angles (deg): 90.00 90.00 90.00
With the nearest neighbours (Å) after each atom.
Sites, in units of the cell vectors:
Cs  0.0000  0.0000  0.0000  12 Cu 3.78
Na  0.5000  0.5000  0.5000  6 Cu 2.67
Cu  0.0000  0.5000  0.5000  2 Na 2.67
Cu  0.5000  0.0000  0.5000  2 Na 2.67
Cu  0.5000  0.5000  0.0000  2 Na 2.67